P:
{"formula": "HoScBe", "functional": "PBE", "state": "relaxed", "lattice_angstrom": [[-4.270, -1.239, 1.148], [-3.590, 2.359, -1.623], [-2.763, -1.896, -3.140]], "species": ["Ho", "Be", "Sc"], "fractional_positions": [[0.750, 0.750, 0.750], [0.250, 0.250, 0.250], [0.000, 0.000, 0.000]]}

=====

Q:
{"formula": "HoScBe", "functional": "PBE", "state": "relaxed", "lattice_angstrom": [[3.908, -2.044, -1.359], [2.730, -2.054, 3.103], [0.347, -4.601, 0.081]], "species": ["Be", "Sc", "Ho"], "fractional_positions": [[0.250, 0.250, 0.250], [0.750, 0.750, 0.750], [0.000, 0.000, 0.000]]}

=====

Most stable structure among those shown: P. Next: +90 meV per atom.